## LiNiAs2Se (PBE)

Data for LiNiAs2Se after structural relaxation.

Properties
- E above lowest polymorph: 607 meV/atom
- Space group: P4/mmm (123)
- ΔE_f (raw): 0.69 eV/atom
- E_tot: -0.2503 Ry/atom
- Magnetization: 0.0000 μB per atom
- DOS(E_F): 3.866 states/eV per cell

a = 4.4430 Å, b = 4.4430 Å, c = 4.6263 Å
α = 90.00°, β = 90.00°, γ = 90.00°
Last column: nearest neighbours and their distance in Å.
Positions (direct):
Li1 0.0000 0.0000 0.0000  4 As 2.22, 2 Se 2.31
Ni1 0.5000 0.5000 0.5000  4 Se 3.14, 8 As 3.21
As1 0.0000 0.5000 0.0000  2 Li 2.22
As2 0.5000 0.0000 0.0000  2 Li 2.22
Se1 0.0000 0.0000 0.5000  2 Li 2.31

## LiNiAs2Se (PBE)

Data for LiNiAs2Se after structural relaxation.

Properties
- E above lowest polymorph: 0 meV/atom
- Space group: P4/mmm (123)
- ΔE_f (raw): 0.08 eV/atom
- E_tot: -0.2950 Ry/atom
- Magnetization: 0.0000 μB per atom
- DOS(E_F): 3.630 states/eV per cell

a = 4.5176 Å, b = 4.5176 Å, c = 5.2386 Å
α = 90.00°, β = 90.00°, γ = 90.00°
Last column: nearest neighbours and their distance in Å.
Positions (direct):
Li1 0.0000 0.0000 0.0000  4 Se 3.19, 8 As 3.46
Ni1 0.5000 0.5000 0.5000  4 As 2.26
As1 0.0000 0.5000 0.5000  2 Ni 2.26
As2 0.5000 0.0000 0.5000  2 Ni 2.26
Se1 0.5000 0.5000 0.0000  2 Ni 2.62

## LiSm2Ni3As4 (PBE)

Data for LiSm2Ni3As4 after structural relaxation.

Properties
- Space group: P-4m2 (115)
- E_tot: -0.4097 Ry/atom
- Calculated formation energy: -845 meV/atom
- Magnetization: 0.0000 μB per atom
- DOS(E_F): 2.762 states/eV per cell

a = 4.2044 Å, b = 4.2044 Å, c = 9.6100 Å
α = 90.00°, β = 90.00°, γ = 90.00°
Last column: nearest neighbours and their distance in Å.
Positions (direct):
Li1 0.0000 0.0000 0.0000  4 As 2.48
Sm1 0.0000 0.5000 0.7473  8 As 3.17-3.18, 2 Li 3.21, 7 Ni 3.21-3.50
Sm2 0.5000 0.0000 0.2527  8 As 3.17-3.18, 2 Li 3.21, 7 Ni 3.21-3.50
Ni1 0.0000 0.5000 0.3835  5 As 2.38
Ni2 0.5000 0.0000 0.6165  5 As 2.38
Ni3 0.5000 0.5000 0.0000  4 As 2.48
As1 0.0000 0.0000 0.5000  4 Ni 2.38
As2 0.0000 0.5000 0.1359  3 Ni 2.38-2.48, 2 Li 2.48
As3 0.5000 0.0000 0.8641  3 Ni 2.38-2.48, 2 Li 2.48
As4 0.5000 0.5000 0.5000  4 Ni 2.38

## LiNi7Sn2As2 (PBE)

Data for LiNi7Sn2As2 after structural relaxation.

Properties
- Space group: C2/m (12)
- E_tot: -0.3727 Ry/atom
- Calculated formation energy: -97 meV/atom
- Magnetization: 0.0000 μB per atom
- DOS(E_F): 8.299 states/eV per cell

a = 3.5819 Å, b = 3.5819 Å, c = 14.6914 Å
α = 96.90°, β = 96.90°, γ = 89.98°
Last column: nearest neighbours and their distance in Å.
Positions (direct):
Li1 0.0000 0.0000 0.0000  12 Ni 2.52-2.53
Ni1 0.0597 0.5598 0.1226  2 As 2.32, 6 Ni 2.52-2.53, 2 Li 2.52
Ni2 0.3082 0.3082 0.6164  1 As 2.31
Ni3 0.4402 0.9403 0.8774  2 As 2.32, 6 Ni 2.52-2.53, 2 Li 2.52
Ni4 0.5000 0.5000 0.0000  8 Ni 2.52, 4 Li 2.53
Ni5 0.5598 0.0597 0.1226  2 As 2.32, 6 Ni 2.52-2.53, 2 Li 2.52
Ni6 0.6918 0.6918 0.3836  1 As 2.31
Ni7 0.9403 0.4402 0.8774  2 As 2.32, 6 Ni 2.52-2.53, 2 Li 2.52
Sn1 0.2125 0.2125 0.4252  5 Ni 2.60-2.77
Sn2 0.7875 0.7875 0.5748  5 Ni 2.60-2.77
As1 0.3903 0.3903 0.7757  5 Ni 2.31-2.32
As2 0.6097 0.6097 0.2243  5 Ni 2.31-2.32

## LiTb2Ni4As3 (PBE)

Data for LiTb2Ni4As3 after structural relaxation.

Properties
- Space group: P-4m2 (115)
- E_tot: -0.4118 Ry/atom
- Calculated formation energy: -778 meV/atom
- Magnetization: 0.0000 μB per atom
- DOS(E_F): 5.367 states/eV per cell

a = 4.0327 Å, b = 4.0327 Å, c = 9.6701 Å
α = 90.00°, β = 90.00°, γ = 90.00°
Last column: nearest neighbours and their distance in Å.
Positions (direct):
Li1 0.0000 0.0000 0.0000  4 Ni 2.36
Tb1 0.0000 0.5000 0.7439  6 As 3.04-3.19, 8 Ni 3.10-3.11, 2 Li 3.19
Tb2 0.5000 0.0000 0.2561  6 As 3.04-3.19, 8 Ni 3.10-3.11, 2 Li 3.19
Ni1 0.0000 0.0000 0.5000  4 As 2.41
Ni2 0.0000 0.5000 0.1266  3 As 2.30-2.36, 2 Li 2.36
Ni3 0.5000 0.0000 0.8734  3 As 2.30-2.36, 2 Li 2.36
Ni4 0.5000 0.5000 0.5000  4 As 2.41
As1 0.0000 0.5000 0.3642  5 Ni 2.30-2.41
As2 0.5000 0.0000 0.6358  5 Ni 2.30-2.41
As3 0.5000 0.5000 0.0000  4 Ni 2.36

## LiTh2Ni4As3 (PBE)

Data for LiTh2Ni4As3 after structural relaxation.

Properties
- Space group: P-4m2 (115)
- E_tot: -0.4535 Ry/atom
- Calculated formation energy: -788 meV/atom
- Magnetization: 0.0000 μB per atom
- DOS(E_F): 4.061 states/eV per cell

a = 4.0940 Å, b = 4.0940 Å, c = 9.8323 Å
α = 90.00°, β = 90.00°, γ = 90.00°
Last column: nearest neighbours and their distance in Å.
Positions (direct):
Li1 0.0000 0.0000 0.0000  4 Ni 2.42
Th1 0.0000 0.5000 0.7449  6 As 3.11-3.24, 8 Ni 3.14-3.16, 2 Li 3.24
Th2 0.5000 0.0000 0.2551  6 As 3.11-3.24, 8 Ni 3.14-3.16, 2 Li 3.24
Ni1 0.0000 0.0000 0.5000  4 As 2.41
Ni2 0.0000 0.5000 0.1313  3 As 2.34-2.42, 2 Li 2.42
Ni3 0.5000 0.0000 0.8687  3 As 2.34-2.42, 2 Li 2.42
Ni4 0.5000 0.5000 0.5000  4 As 2.41
As1 0.0000 0.5000 0.3697  5 Ni 2.34-2.41
As2 0.5000 0.0000 0.6303  5 Ni 2.34-2.41
As3 0.5000 0.5000 0.0000  4 Ni 2.42

## LiZnNiAs (PBE)

Data for LiZnNiAs after structural relaxation.

Properties
- Space group: F-43m (216)
- E_tot: -0.2713 Ry/atom
- Calculated formation energy: -286 meV/atom
- Magnetization: 0.0000 μB per atom
- DOS(E_F): 4.801 states/eV per cell

a = 5.9641 Å, b = 5.9641 Å, c = 5.9641 Å
α = 90.00°, β = 90.00°, γ = 90.00°
Last column: nearest neighbours and their distance in Å.
Positions (direct):
Li1 0.0000 0.0000 0.0000  4 As 2.58, 4 Zn 2.58
Li2 0.0000 0.5000 0.5000  4 As 2.58, 4 Zn 2.58
Li3 0.5000 0.0000 0.5000  4 As 2.58, 4 Zn 2.58
Li4 0.5000 0.5000 0.0000  4 As 2.58, 4 Zn 2.58
Zn1 0.2500 0.2500 0.7500  4 Li 2.58, 4 Ni 2.58
Zn2 0.2500 0.7500 0.2500  4 Li 2.58, 4 Ni 2.58
Zn3 0.7500 0.2500 0.2500  4 Li 2.58, 4 Ni 2.58
Zn4 0.7500 0.7500 0.7500  4 Li 2.58, 4 Ni 2.58
Ni1 0.0000 0.0000 0.5000  4 Zn 2.58, 4 As 2.58
Ni2 0.0000 0.5000 0.0000  4 Zn 2.58, 4 As 2.58
Ni3 0.5000 0.0000 0.0000  4 Zn 2.58, 4 As 2.58
Ni4 0.5000 0.5000 0.5000  4 Zn 2.58, 4 As 2.58
As1 0.2500 0.2500 0.2500  4 Li 2.58, 4 Ni 2.58
As2 0.2500 0.7500 0.7500  4 Li 2.58, 4 Ni 2.58
As3 0.7500 0.2500 0.7500  4 Li 2.58, 4 Ni 2.58
As4 0.7500 0.7500 0.2500  4 Li 2.58, 4 Ni 2.58

## LiNpAs2 (PBE)

Data for LiNpAs2 after structural relaxation.

Properties
- E above lowest polymorph: 178 meV/atom
- Space group: Fm-3m (225)
- E_tot: -0.4770 Ry/atom
- Calculated formation energy: -451 meV/atom
- Magnetization: 0.7654 μB per atom
- DOS(E_F): 40.585 states/eV per cell

a = 6.7726 Å, b = 6.7726 Å, c = 6.7726 Å
α = 90.00°, β = 90.00°, γ = 90.00°
Last column: nearest neighbours and their distance in Å.
Positions (direct):
Li1 0.0000 0.0000 0.0000  8 As 2.93
Li2 0.0000 0.5000 0.5000  8 As 2.93
Li3 0.5000 0.0000 0.5000  8 As 2.93
Li4 0.5000 0.5000 0.0000  8 As 2.93
Np1 0.0000 0.0000 0.5000  8 As 2.93
Np2 0.0000 0.5000 0.0000  8 As 2.93
Np3 0.5000 0.0000 0.0000  8 As 2.93
Np4 0.5000 0.5000 0.5000  8 As 2.93
As1 0.2500 0.2500 0.2500  4 Li 2.93, 4 Np 2.93
As2 0.2500 0.2500 0.7500  4 Li 2.93, 4 Np 2.93
As3 0.2500 0.7500 0.2500  4 Li 2.93, 4 Np 2.93
As4 0.2500 0.7500 0.7500  4 Li 2.93, 4 Np 2.93
As5 0.7500 0.2500 0.2500  4 Li 2.93, 4 Np 2.93
As6 0.7500 0.2500 0.7500  4 Li 2.93, 4 Np 2.93
As7 0.7500 0.7500 0.2500  4 Li 2.93, 4 Np 2.93
As8 0.7500 0.7500 0.7500  4 Np 2.93, 4 Li 2.93

## LiNpAs2 (PBE)

Data for LiNpAs2 after structural relaxation.

Properties
- E above lowest polymorph: 163 meV/atom
- Space group: R-3m (166)
- E_tot: -0.4781 Ry/atom
- Calculated formation energy: -467 meV/atom
- Magnetization: 0.7615 μB per atom
- DOS(E_F): 37.589 states/eV per cell

a = 4.4306 Å, b = 4.4306 Å, c = 14.1397 Å
α = 90.00°, β = 90.00°, γ = 120.00°
Last column: nearest neighbours and their distance in Å.
Positions (direct):
Li1 0.0000 0.0000 0.0000  6 As 2.78
Li2 0.3333 0.6667 0.6667  6 As 2.78
Li3 0.6667 0.3333 0.3333  6 As 2.78
Np1 0.0000 0.0000 0.5000  6 As 2.86
Np2 0.3333 0.6667 0.1667  6 As 2.86
Np3 0.6667 0.3333 0.8333  6 As 2.86
As1 0.0000 0.0000 0.2567  3 Li 2.78, 3 Np 2.86
As2 0.0000 0.0000 0.7433  3 Li 2.78, 3 Np 2.86
As3 0.3333 0.6667 0.4099  3 Li 2.78, 3 Np 2.86
As4 0.3333 0.6667 0.9234  3 Li 2.78, 3 Np 2.86
As5 0.6667 0.3333 0.0766  3 Li 2.78, 3 Np 2.86
As6 0.6667 0.3333 0.5901  3 Li 2.78, 3 Np 2.86

## LiNpAs2 (PBE)

Data for LiNpAs2 after structural relaxation.

Properties
- E above lowest polymorph: 227 meV/atom
- Space group: P4/mmm (123)
- E_tot: -0.4734 Ry/atom
- Calculated formation energy: -403 meV/atom
- Magnetization: 1.0165 μB per atom
- DOS(E_F): 7.729 states/eV per cell

a = 3.5444 Å, b = 3.5444 Å, c = 6.0850 Å
α = 90.00°, β = 90.00°, γ = 90.00°
Last column: nearest neighbours and their distance in Å.
Positions (direct):
Li1 0.0000 0.0000 0.0000  8 As 2.85, 2 Np 3.04
Np1 0.0000 0.0000 0.5000  8 As 3.02, 2 Li 3.04
As1 0.5000 0.5000 0.2220  1 As 2.70, 4 Li 2.85, 4 Np 3.02
As2 0.5000 0.5000 0.7780  1 As 2.70, 4 Li 2.85, 4 Np 3.02

## LiNpAs2 (PBE)

Data for LiNpAs2 after structural relaxation.

Properties
- E above lowest polymorph: 182 meV/atom
- Space group: R3m (160)
- E_tot: -0.4767 Ry/atom
- Calculated formation energy: -447 meV/atom
- Magnetization: 0.8732 μB per atom
- DOS(E_F): 32.524 states/eV per cell

a = 4.1058 Å, b = 4.1058 Å, c = 17.9755 Å
α = 90.00°, β = 90.00°, γ = 120.00°
Last column: nearest neighbours and their distance in Å.
Positions (direct):
Li1 0.0000 0.0000 0.0000  6 As 2.63-2.85
Li2 0.3333 0.6667 0.6667  6 As 2.63-2.85
Li3 0.6667 0.3333 0.3333  6 As 2.63-2.85
Np1 0.0000 0.0000 0.1799  6 As 2.87-2.89
Np2 0.3333 0.6667 0.8465  6 As 2.87-2.89
Np3 0.6667 0.3333 0.5132  6 As 2.87-2.89
As1 0.0000 0.0000 0.6031  3 Li 2.63, 1 As 2.72, 3 Np 2.87
As2 0.0000 0.0000 0.7545  1 As 2.72, 3 Li 2.85, 3 Np 2.89
As3 0.3333 0.6667 0.2697  3 Li 2.63, 1 As 2.72, 3 Np 2.87
As4 0.3333 0.6667 0.4212  1 As 2.72, 3 Li 2.85, 3 Np 2.89
As5 0.6667 0.3333 0.0878  1 As 2.72, 3 Li 2.85, 3 Np 2.89
As6 0.6667 0.3333 0.9364  3 Li 2.63, 1 As 2.72, 3 Np 2.87

## LiNpAs2 (PBE)

Data for LiNpAs2 after structural relaxation.

Properties
- E above lowest polymorph: 0 meV/atom
- Space group: P4/nmm (129)
- E_tot: -0.4901 Ry/atom
- Calculated formation energy: -629 meV/atom
- Magnetization: 0.9188 μB per atom
- DOS(E_F): 15.550 states/eV per cell

a = 3.9095 Å, b = 3.9095 Å, c = 10.2864 Å
α = 90.00°, β = 90.00°, γ = 90.00°
Last column: nearest neighbours and their distance in Å.
Positions (direct):
Li1 0.2500 0.7500 0.0000  4 As 2.63, 4 Li 2.76
Li2 0.7500 0.2500 0.0000  4 As 2.63, 4 Li 2.76
Np1 0.2500 0.2500 0.2772  8 As 2.97-3.01
Np2 0.7500 0.7500 0.7228  8 As 2.97-3.01
As1 0.2500 0.2500 0.8293  4 Li 2.63
As2 0.2500 0.7500 0.5000  4 As 2.76, 4 Np 3.01
As3 0.7500 0.2500 0.5000  4 As 2.76, 4 Np 3.01
As4 0.7500 0.7500 0.1707  4 Li 2.63